ThSe2 PBE-GGA relaxed; ΔE_f (raw) = -1.735 eV/atom; space group = Pnma
1.0
7.638 0.000 0.000
0.000 4.441 0.000
0.000 0.000 9.137
Th Se
4 8
Cartesian
1.901 1.110 1.112
1.918 3.331 5.680
5.720 1.110 3.456
5.737 3.331 8.025
0.217 3.331 3.071
1.070 3.331 8.496
2.749 1.110 3.927
3.602 1.110 7.639
4.036 3.331 1.497
4.889 3.331 5.209
6.567 1.110 0.641
7.421 1.110 6.066